1.
The following is a GGA-PBE calculation of crystalline BeZn2Ga at its relaxed geometry, from the Alexandria database.

```
BeZn2Ga
1.0
7.4357 0.0000 0.0000
0.0000 7.4357 0.0000
3.7178 3.7178 2.3177
Zn Ga Be
4 2 2
direct
0.5522 0.1250 0.2500
0.8750 0.8022 0.7500
0.3750 0.4478 0.7500
0.1978 0.6250 0.2500
0.0000 0.0000 0.0000
0.7500 0.2500 0.5000
0.2500 0.7500 0.5000
0.5000 0.5000 0.0000
```

* volume: 128.15 Å³ per cell
* ΔE_f: 325 meV per atom
* raw total energy: -2.00 eV per atom

=====

2.
The following is a GGA-PBE calculation of crystalline Ba2MgTa at its relaxed geometry, from the Alexandria database.

```
Ba2MgTa
1.0
-4.3768 1.2098 1.4380
-1.2333 -4.5993 0.1157
0.7267 -2.3574 12.0838
Ba Mg Ta
4 2 2
direct
0.3750 0.3655 0.7500
0.6345 0.1250 0.2500
0.1155 0.6250 0.2500
0.8750 0.8845 0.7500
0.2500 0.7500 0.5000
0.5000 0.5000 0.0000
0.7500 0.2500 0.5000
0.0000 0.0000 0.0000
```

* volume: 269.17 Å³ per cell
* ΔE_f: 1227 meV per atom
* raw total energy: -3.10 eV per atom

=====

3.
The following is a GGA-PBE calculation of crystalline La3SbO at its relaxed geometry, from the Alexandria database.

```
La3SbO
1.0
5.0350 0.0000 0.0000
0.0000 5.0350 0.0000
0.0000 0.0000 5.0350
O La Sb
1 3 1
direct
0.0000 0.0000 0.0000
0.5000 0.0000 0.0000
0.0000 0.5000 0.0000
0.0000 0.0000 0.5000
0.5000 0.5000 0.5000
```

* volume: 127.64 Å³ per cell
* formation energy from raw total energies: -1.608 eV/atom
* raw total energy: -6.38 eV per atom

=====

4.
The following is a GGA-PBE calculation of crystalline Pu3Hg2BRh3 at its relaxed geometry, from the Alexandria database.

```
Pu3Hg2BRh3
1.0
-1.2595 -2.1466 -2.3207
5.2698 -5.4569 2.1876
-7.0528 0.3173 3.5343
B Hg Rh Pu
1 2 3 3
direct
0.0000 0.0000 0.0000
0.5000 0.3333 0.6667
0.5000 0.6667 0.3333
0.5000 0.7980 0.0000
0.5000 0.2020 0.2020
0.5000 0.0000 0.7980
0.0000 0.3434 0.0000
0.0000 0.0000 0.3434
0.0000 0.6566 0.6566
```

* volume: 183.70 Å³ per cell
* ΔE_f: -189 meV per atom
* raw total energy: -8.23 eV per atom

=====

5.
The following is a GGA-PBE calculation of crystalline La2NiH12Rh3 at its relaxed geometry, from the Alexandria database.

```
La2NiH12Rh3
1.0
6.0103 -0.1230 -0.0872
2.8613 5.2869 -0.0872
2.8613 1.6655 5.0185
H Rh La Ni
12 3 2 1
direct
0.9235 0.3418 0.3418
0.6582 0.0765 0.6582
0.0859 0.0859 0.6780
0.0859 0.6780 0.0859
0.3220 0.9141 0.9141
0.0765 0.6582 0.6582
0.6780 0.0859 0.0859
0.9141 0.3220 0.9141
0.9141 0.9141 0.3220
0.6582 0.6582 0.0765
0.3418 0.3418 0.9235
0.3418 0.9235 0.3418
0.0000 0.5000 0.0000
0.0000 0.0000 0.5000
0.5000 0.0000 0.0000
0.6308 0.6308 0.6308
0.3692 0.3692 0.3692
0.0000 0.0000 0.0000
```

* volume: 163.04 Å³ per cell
* raw total energy: -4.65 eV per atom

=====

6.
The following is a GGA-PBE calculation of crystalline Sm6ZnHg3 at its relaxed geometry, from the Alexandria database.

```
Sm6ZnHg3
1.0
-4.6281 2.0280 1.6796
-3.4436 -0.7443 -8.5899
-2.3696 -10.0704 5.6296
Sm Hg Zn
12 6 2
direct
0.7500 0.8720 0.8462
0.2500 0.1062 0.8734
0.7500 0.3396 0.3243
0.2500 0.4811 0.0964
0.2500 0.8575 0.3296
0.2500 0.2381 0.4956
0.7500 0.5189 0.9036
0.7500 0.1425 0.6704
0.7500 0.8938 0.1266
0.2500 0.1280 0.1538
0.7500 0.7619 0.5044
0.2500 0.6604 0.6757
0.7500 0.2269 0.0287
0.2500 0.7731 0.9713
0.7500 0.4722 0.6209
0.2500 0.3780 0.7760
0.2500 0.5278 0.3791
0.7500 0.6220 0.2240
0.7500 0.0457 0.3942
0.2500 0.9543 0.6058
```

* volume: 555.62 Å³ per cell
* ΔE_f: -312 meV per atom
* raw total energy: -3.36 eV per atom

=====

7.
The following is a GGA-PBE calculation of crystalline AsPPd2 at its relaxed geometry, from the Alexandria database.

```
AsPPd2
1.0
4.3353 0.0000 0.0000
0.0000 4.3353 0.0000
2.1676 2.1676 7.5468
Pd P As
4 2 2
direct
0.5959 0.1250 0.2500
0.8750 0.8459 0.7500
0.1541 0.6250 0.2500
0.3750 0.4041 0.7500
0.5000 0.5000 0.0000
0.2500 0.7500 0.5000
0.7500 0.2500 0.5000
0.0000 0.0000 0.0000
```

* volume: 141.84 Å³ per cell
* ΔE_f: -186 meV per atom
* raw total energy: -5.30 eV per atom

=====

8.
The following is a GGA-PBE calculation of crystalline YHg3Mo at its relaxed geometry, from the Alexandria database.

```
YHg3Mo
1.0
-4.9543 0.3514 -2.8727
-2.5080 -3.3634 3.9139
-1.4442 4.6352 3.0578
Mo Y Hg
1 1 3
direct
0.5000 0.5000 0.5000
0.0000 0.0000 0.0000
0.5000 0.0000 0.0000
0.0000 0.5000 0.0000
0.0000 0.0000 0.5000
```

* volume: 188.89 Å³ per cell
* ΔE_f: 1239 meV per atom
* raw total energy: -2.40 eV per atom

=====

9.
The following is a GGA-PBE calculation of crystalline NaCdAg2 at its relaxed geometry, from the Alexandria database.

```
NaCdAg2
1.0
-2.2906 -2.7055 -0.5420
2.2327 -2.2313 1.7020
-2.9352 1.3573 5.6298
Ag Na Cd
2 1 1
direct
0.0000 0.0000 0.7302
0.0000 0.0000 0.2698
0.5000 0.5000 0.0000
0.5000 0.5000 0.5000
```

* volume: 83.50 Å³ per cell
* ΔE_f: -2 meV per atom
* raw total energy: -1.99 eV per atom

=====

10.
The following is a GGA-PBE calculation of crystalline Bi2HPdO6 at its relaxed geometry, from the Alexandria database.

```
Bi2HPdO6
1.0
-4.0579 -0.6055 -4.5745
0.8754 -4.6710 -0.1583
-6.4211 -1.4195 6.3783
O Bi H Pd
12 4 2 2
direct
0.5877 0.7703 0.5030
0.8217 0.2789 0.3529
0.1783 0.7211 0.6471
0.4123 0.2297 0.4970
0.3217 0.2211 0.8529
0.9123 0.2703 0.9970
0.1527 0.6626 0.3296
0.6783 0.7789 0.1471
0.0877 0.7297 0.0030
0.6527 0.8374 0.8296
0.8473 0.3374 0.6704
0.3473 0.1626 0.1704
0.0013 0.0053 0.1896
0.9987 0.9947 0.8104
0.4987 0.5053 0.3104
0.5013 0.4947 0.6896
0.5000 0.0000 0.5000
0.0000 0.5000 0.0000
0.5000 0.0000 0.0000
0.0000 0.5000 0.5000
```

* volume: 267.46 Å³ per cell
* raw total energy: -5.36 eV per atom

=====

11.
The following is a GGA-PBE calculation of crystalline Li3ZnAu5 at its relaxed geometry, from the Alexandria database.

```
Li3ZnAu5
1.0
5.4929 0.0000 0.0000
0.0000 6.7589 -3.9023
0.0000 0.0001 7.8047
Au Li Zn
10 6 2
direct
0.7500 0.6975 0.6975
0.2500 0.0000 0.6975
0.2500 0.6975 0.0000
0.5000 0.3333 0.6667
0.7500 0.0000 0.3025
0.2500 0.3025 0.3025
0.0000 0.3333 0.6667
0.7500 0.3025 0.0000
0.0000 0.6667 0.3333
0.5000 0.6667 0.3333
0.2500 0.0000 0.3607
0.7500 0.3606 0.3607
0.7500 0.0000 0.6393
0.2500 0.3607 0.0000
0.2500 0.6394 0.6393
0.7500 0.6393 0.0000
0.5000 0.0000 0.0000
0.0000 0.0000 0.0000
```

* volume: 289.76 Å³ per cell
* ΔE_f: -416 meV per atom
* raw total energy: -3.02 eV per atom

=====

12.
The following is a GGA-PBE calculation of crystalline TbPr3Co at its relaxed geometry, from the Alexandria database.

```
TbPr3Co
1.0
-5.4338 -0.6151 0.1930
0.4768 -4.9373 -2.3102
0.4338 -2.2773 4.9566
Co Tb Pr
1 1 3
direct
0.0000 0.0000 0.0000
0.5000 0.5000 0.5000
0.5000 0.0000 0.0000
0.0000 0.0000 0.5000
0.0000 0.5000 0.0000
```

* volume: 163.84 Å³ per cell
* ΔE_f: 124 meV per atom
* raw total energy: -5.09 eV per atom

=====

13.
The following is a GGA-PBE calculation of crystalline Rb2ScHgBr6 at its relaxed geometry, from the Alexandria database.

```
Rb2ScHgBr6
1.0
-3.0539 5.7859 4.7068
3.6097 -3.3042 6.4038
4.8791 4.4375 4.6111
Rb Br Sc Hg
2 6 1 1
direct
0.2500 0.7500 0.5000
0.7500 0.2500 0.5000
0.7346 0.7346 0.5308
0.7337 0.7337 0.0000
0.7337 0.2663 0.0000
0.2663 0.2663 0.0000
0.2654 0.2654 0.4692
0.2663 0.7337 0.0000
0.5000 0.5000 0.0000
0.0000 0.0000 0.0000
```

* volume: 369.06 Å³ per cell
* formation energy from raw total energies: -1.386 eV/atom
* raw total energy: -3.25 eV per atom

=====

14.
The following is a GGA-PBE calculation of crystalline TbPd4Au3 at its relaxed geometry, from the Alexandria database.

```
TbPd4Au3
1.0
-5.4948 0.0872 -2.8509
4.0641 -4.6693 -0.0977
1.1084 -0.7710 6.0420
Pd Au Tb
4 3 1
direct
0.1027 0.2340 0.3367
0.1027 0.7660 0.8687
0.0707 0.7532 0.3175
0.5643 0.2468 0.3175
0.6036 0.7418 0.3454
0.8166 0.0000 0.8166
0.6036 0.2582 0.8618
0.2869 0.5000 0.7869
```

* volume: 147.46 Å³ per cell
* ΔE_f: -300 meV per atom
* raw total energy: -4.70 eV per atom

=====

15.
The following is a GGA-PBE calculation of crystalline Tb2PmDy6Er at its relaxed geometry, from the Alexandria database.

```
Tb2PmDy6Er
1.0
-1.0969 -6.2181 -7.1819
4.2377 -5.7247 5.1093
-8.6181 1.0066 1.2449
Tb Dy Er Pm
4 12 2 2
direct
0.4551 0.8017 0.6977
0.5449 0.1983 0.3023
0.0449 0.3023 0.1983
0.9551 0.6977 0.8017
0.3805 0.5069 0.2921
0.3156 0.9821 0.4318
0.8805 0.2921 0.5069
0.1844 0.5682 0.0179
0.4434 0.2513 0.8765
0.6844 0.0179 0.5682
0.1195 0.7079 0.4931
0.8156 0.4318 0.9821
0.6195 0.4931 0.7079
0.9434 0.8765 0.2513
0.0566 0.1235 0.7487
0.5566 0.7487 0.1235
0.2500 0.4089 0.5911
0.7500 0.5911 0.4089
0.2500 0.9768 0.0232
0.7500 0.0232 0.9768
```

* volume: 643.75 Å³ per cell
* ΔE_f: 118 meV per atom
* raw total energy: -4.50 eV per atom

=====

16.
The following is a GGA-PBE calculation of crystalline CaCdCu10 at its relaxed geometry, from the Alexandria database.

```
CaCdCu10
1.0
-1.9181 0.3151 -3.6007
-1.0988 -4.8752 0.1588
-7.4182 1.8058 4.1098
Cu Ca Cd
10 1 1
direct
0.0000 0.0000 0.6570
0.5000 0.0000 0.5000
0.5000 0.7507 0.2516
0.0000 0.5000 0.1789
0.5000 0.2493 0.7484
0.0000 0.0000 0.3430
0.5000 0.5000 0.0000
0.5000 0.2493 0.2516
0.0000 0.5000 0.8211
0.5000 0.7507 0.7484
0.0000 0.0000 0.0000
0.0000 0.5000 0.5000
```

* volume: 177.40 Å³ per cell
* ΔE_f: -31 meV per atom
* raw total energy: -3.69 eV per atom

=====

17.
The following is a GGA-PBE calculation of crystalline Tl2SiSe5 at its relaxed geometry, from the Alexandria database.

```
Tl2SiSe5
1.0
7.5674 -0.0001 0.0001
0.0001 5.4057 -0.1187
-3.7833 -2.8334 6.5975
Se Si Tl
5 1 2
direct
0.2548 0.7309 0.0208
0.7954 0.8271 0.5909
0.7660 0.7309 0.0208
0.2758 0.2821 0.0813
0.8055 0.2822 0.0813
0.9669 0.9478 0.9338
0.6998 0.2236 0.3995
0.2127 0.7524 0.4255
```

* volume: 267.34 Å³ per cell
* formation energy from raw total energies: -0.187 eV/atom
* raw total energy: -3.63 eV per atom

=====

18.
The following is a GGA-PBE calculation of crystalline BaTlAu2 at its relaxed geometry, from the Alexandria database.

```
BaTlAu2
1.0
-3.9485 -0.1968 0.4674
-0.1304 -3.1153 -2.4137
0.7564 -7.5444 3.2126
Au Ba Tl
2 1 1
direct
0.0000 0.0350 0.9661
0.0000 0.4650 0.5339
0.5000 0.2500 0.2500
0.5000 0.7500 0.7500
```

* volume: 113.26 Å³ per cell
* ΔE_f: -405 meV per atom
* raw total energy: -3.12 eV per atom

=====

19.
The following is a GGA-PBE calculation of crystalline MnFeSe4 at its relaxed geometry, from the Alexandria database.

```
MnFeSe4
1.0
0.0000 3.9726 3.9726
3.9726 0.0000 3.9726
3.9726 3.9726 0.0000
Fe Se Mn
1 4 1
direct
0.7500 0.7500 0.7500
0.8743 0.3752 0.3752
0.3752 0.3752 0.3752
0.3752 0.3752 0.8743
0.3752 0.8743 0.3752
0.0000 0.0000 0.0000
```

* volume: 125.38 Å³ per cell
* formation energy from raw total energies: 0.929 eV/atom
* raw total energy: -4.33 eV per atom

=====

20.
The following is a GGA-PBE calculation of crystalline LiRe3Bi at its relaxed geometry, from the Alexandria database.

```
LiRe3Bi
1.0
5.0629 0.0000 0.0000
0.0000 5.0629 0.0000
0.0000 0.0000 5.0629
Re Bi Li
3 1 1
direct
0.0000 0.5000 0.0000
0.5000 0.0000 0.0000
0.0000 0.0000 0.5000
0.0000 0.0000 0.0000
0.5000 0.5000 0.5000
```

* volume: 129.78 Å³ per cell
* ΔE_f: 3020 meV per atom
* raw total energy: -5.61 eV per atom

=====

21.
The following is a GGA-PBE calculation of crystalline La2PmYSc at its relaxed geometry, from the Alexandria database.

```
La2PmYSc
1.0
7.2816 0.0000 0.0000
0.0000 8.2676 0.0000
0.0000 -4.1338 5.8156
Y Sc Pm La
2 2 2 4
direct
0.7500 0.7532 0.5064
0.2500 0.2468 0.4936
0.7500 0.0202 0.0403
0.2500 0.9798 0.9597
0.7500 0.2760 0.5520
0.2500 0.7240 0.4480
0.0000 0.3002 0.0000
0.0000 0.6998 0.0000
0.5000 0.6998 0.0000
0.5000 0.3002 0.0000
```

* volume: 350.10 Å³ per cell
* ΔE_f: 345 meV per atom
* raw total energy: -5.13 eV per atom

=====

22.
The following is a GGA-PBE calculation of crystalline La2TbAl2 at its relaxed geometry, from the Alexandria database.

```
La2TbAl2
1.0
3.7275 0.0000 0.0000
0.0000 6.3141 0.3971
-1.8638 -1.4633 6.0416
La Al Tb
2 2 1
direct
0.3717 0.4275 0.7434
0.6283 0.5725 0.2566
0.2960 0.8925 0.5921
0.7040 0.1075 0.4079
0.0000 0.0000 0.0000
```

* volume: 144.36 Å³ per cell
* ΔE_f: -184 meV per atom
* raw total energy: -4.58 eV per atom

=====

23.
The following is a GGA-PBE calculation of crystalline TaGa2N at its relaxed geometry, from the Alexandria database.

```
TaGa2N
1.0
-0.2252 5.8290 3.0318
-3.5218 2.4539 -4.9794
-4.0506 3.4370 0.2189
Ga N Ta
4 2 2
direct
0.1979 0.6250 0.2500
0.3750 0.4479 0.7500
0.8750 0.8021 0.7500
0.5521 0.1250 0.2500
0.2500 0.7500 0.5000
0.5000 0.5000 0.0000
0.0000 0.0000 0.0000
0.7500 0.2500 0.5000
```

* volume: 111.53 Å³ per cell
* formation energy from raw total energies: 0.385 eV/atom
* raw total energy: -6.17 eV per atom

=====

| no. | density of states at the Fermi level (states/eV/atom) | magnetic moment (μB per formula unit) |
| --- | --- | --- |
| 1 | 0.411 | 0.0 |
| 2 | 0.812 | 1.3 |
| 3 | 1.200 | 0.0 |
| 4 | 3.785 | 15.9 |
| 5 | 0.314 | 0.0 |
| 6 | 1.096 | 0.0 |
| 7 | 0.384 | 0.0 |
| 8 | 0.741 | 4.7 |
| 9 | 0.306 | 0.0 |
| 10 | 0.621 | 0.0 |
| 11 | 0.303 | 0.0 |
| 12 | 1.894 | 1.0 |
| 13 | 0.701 | 0.0 |
| 14 | 0.404 | 0.0 |
| 15 | 1.393 | 0.0 |
| 16 | 0.374 | 0.0 |
| 17 | 0.336 | 0.0 |
| 18 | 0.553 | 0.0 |
| 19 | 0.867 | 8.0 |
| 20 | 1.491 | 4.2 |
| 21 | 1.391 | 0.0 |
| 22 | 1.155 | 0.0 |
| 23 | 0.588 | 0.0 |